Below is a geometry-optimized RbRh2F structure, with properties calculated at the PBE-GGA level.

Total moment = 0.00 μB per cell
Energy relative to the lowest polymorph listed for this composition = 0.00 eV/f.u.
Formation energy from raw total energies = 215 meV per atom
Volume = 191.2 Å³ per cell

Geometry as POSCAR:
```
RbRh2F
1.0
-2.150 -1.903 -3.827
4.267 -1.204 -1.798
0.627 -8.922 1.093
Rh Rb F
4 2 2
Cartesian
-0.116 -3.094 -1.387 Rh
2.017 -3.696 -2.286 Rh
2.331 -8.157 -1.739 Rh
1.256 -9.109 -3.653 Rh
0.000 0.000 0.000 Rb
-0.232 -6.189 -2.773 Rb
1.059 -1.553 -2.813 F
2.976 -5.839 -1.759 F
```

Below is a geometry-optimized Rb3RhF8 structure, with properties calculated at the PBE-GGA level.

Total moment = 0.24 μB per cell
Energy relative to the lowest polymorph listed for this composition = 0.00 eV/f.u.
Formation energy from raw total energies = -2050 meV per atom
Volume = 221.7 Å³ per cell

Geometry as POSCAR:
```
Rb3RhF8
1.0
-4.055 -0.906 -4.510
4.330 -2.782 -3.335
-1.631 -3.336 6.305
Rb Rh F
3 1 8
Cartesian
-2.774 -3.043 -1.064 Rb
0.137 -1.844 -3.923 Rb
1.419 -3.981 -0.476 Rb
0.000 0.000 0.000 Rh
-0.246 -1.748 -1.035 F
2.415 -3.458 -3.084 F
1.383 -4.719 2.267 F
-1.279 -3.009 4.316 F
-0.077 -4.014 -5.856 F
-2.738 -2.304 -3.807 F
-3.771 -3.566 1.544 F
-1.110 -5.276 -0.505 F
```

Below is a geometry-optimized Rb2RhF structure, with properties calculated at the PBE-GGA level.

Total moment = 3.66 μB per cell
Energy relative to the lowest polymorph listed for this composition = 0.00 eV/f.u.
Formation energy from raw total energies = -439 meV per atom
Volume = 291.6 Å³ per cell

Geometry as POSCAR:
```
Rb2RhF
1.0
8.066 0.000 0.000
0.000 8.066 0.000
4.033 4.033 4.482
Rh Rb F
2 4 2
Cartesian
0.000 0.000 0.000 Rh
8.066 4.033 2.241 Rh
5.364 2.016 1.120 Rb
2.702 6.049 1.120 Rb
6.049 6.735 3.361 Rb
10.082 9.397 3.361 Rb
4.033 4.033 0.000 F
4.033 8.066 2.241 F
```

Below is a geometry-optimized Rb2RhF structure, with properties calculated at the PBE-GGA level.

Total moment = 0.59 μB per cell
Energy relative to the lowest polymorph listed for this composition = 0.99 eV/f.u.
Formation energy from raw total energies = -192 meV per atom
Volume = 105.4 Å³ per cell

Geometry as POSCAR:
```
Rb2RhF
1.0
0.000 3.749 3.749
3.749 0.000 3.749
3.749 3.749 0.000
Rh Rb F
1 2 1
Cartesian
3.749 3.749 3.749 Rh
1.875 1.875 1.875 Rb
5.624 5.624 5.624 Rb
0.000 0.000 0.000 F
```

Below is a geometry-optimized Rb5Rh2F12 structure, with properties calculated at the PBE-GGA level.

Total moment = 1.07 μB per cell
Formation energy from raw total energies = -1985 meV per atom
Volume = 334.2 Å³ per cell

Geometry as POSCAR:
```
Rb5Rh2F12
1.0
6.483 0.098 1.539
1.227 6.917 2.654
0.180 -0.019 7.508
Rb Rh F
5 2 12
Cartesian
1.077 1.938 3.002 Rb
4.247 2.425 4.382 Rb
3.242 0.049 0.769 Rb
3.643 4.571 7.319 Rb
6.812 5.058 8.699 Rb
7.471 5.432 5.301 Rh
0.419 1.564 6.400 Rh
6.218 0.761 2.430 F
2.065 0.823 5.503 F
2.607 4.414 2.990 F
5.615 0.938 6.568 F
6.176 4.654 3.968 F
6.008 3.509 6.311 F
1.881 3.487 5.390 F
2.275 6.058 5.133 F
1.714 2.342 7.733 F
5.824 6.173 6.198 F
5.282 2.581 8.711 F
1.672 6.234 9.271 F
```

Below is a geometry-optimized Rb3RhF7 structure, with properties calculated at the PBE-GGA level.

Total moment = 1.03 μB per cell
Formation energy from raw total energies = -2254 meV per atom
Volume = 230.0 Å³ per cell

Geometry as POSCAR:
```
Rb3RhF7
1.0
-0.630 -4.721 3.768
6.010 -0.391 0.778
1.643 2.002 6.546
Rb Rh F
3 1 7
Cartesian
1.636 -2.705 6.155 Rb
4.311 -0.678 8.591 Rb
5.198 -0.382 4.551 Rb
1.627 1.910 6.379 Rh
0.984 -0.474 1.498 F
0.031 -2.980 3.676 F
2.537 -3.241 9.024 F
4.414 -0.122 1.702 F
4.087 -1.883 6.351 F
7.009 -0.325 7.011 F
6.006 -2.805 9.275 F
```